[1]
This record from Alexandria via LeMat-Bulk describes a geometry-optimized SrOsBr4 structure. The functional is PBE-GGA.

Values from the calculation:
Total magnetization ... 24.03 Bohr magnetons per cell
Formation energy (no corrections) ... 713 meV/atom
Calculated volume ... 30.68 Å³/atom

Cell: 9.030 9.030 9.030 Å, 90.00 90.00 90.00°
Space group F-43m (No. 216)
Inequivalent atoms, fractional coordinates:
Sr 0.000 0.000 0.000 (multiplicity 4)
Os 0.250 0.250 0.250 (multiplicity 4)
Br 0.125 0.125 0.625 (multiplicity 16)

[2]
This record from Alexandria via LeMat-Bulk describes a geometry-optimized Zn2Os2Pd structure. The functional is PBE-GGA.

Values from the calculation:
Total magnetization ... 1.41 Bohr magnetons per cell
Calculated volume ... 15.31 Å³/atom
E_form ... 0.481 eV per atom
Offset from the most stable computed form ... 0.013 eV/atom

Cell: 7.480 7.480 2.737 Å, 90.00 90.00 90.00°
Space group P4/mbm (No. 127)
Inequivalent atoms, fractional coordinates:
Zn 0.178 0.322 0.000 (multiplicity 4)
Os 0.117 0.617 0.500 (multiplicity 4)
Pd 0.000 0.000 0.000 (multiplicity 2)

[3]
This record from Alexandria via LeMat-Bulk describes a geometry-optimized Rb2SbBr2 structure. The functional is PBE-GGA.

Values from the calculation:
Total magnetization ... 0.00 Bohr magnetons per cell
Formation energy (no corrections) ... -862 meV/atom
Calculated volume ... 37.10 Å³/atom
Offset from the most stable computed form ... 0.027 eV/atom

Cell: 9.173 9.173 4.409 Å, 90.00 90.00 90.00°
Space group P4/mbm (No. 127)
Inequivalent atoms, fractional coordinates:
Rb 0.149 0.351 0.000 (multiplicity 4)
Sb 0.000 0.000 0.500 (multiplicity 2)
Br 0.160 0.660 0.500 (multiplicity 4)

no.,raw total energy (eV for the cell shown)
1,-61.30
2,-55.59
3,-27.43